# 1
Entry from Alexandria via LeMat-Bulk: crystalline Pr2YTlC at its relaxed geometry (PBE-GGA).

abc: 4.9424 5.1889 5.1889
angles: 90.00 90.00 90.00
Sites, in units of the cell vectors:
Pr (0.0000, 0.5000, 0.0000)
Y (0.5000, 0.0000, 0.0000)
C (0.0000, 0.0000, 0.0000)
Tl (0.5000, 0.5000, 0.5000)
Pr (0.0000, 0.0000, 0.5000)

Output
energy relative to the elements: -0.313 eV per atom
spin magnetization: 0.0 μB per formula unit
Fermi-level density of states: 0.487 states/eV/atom
mass density: 7.3 g cm⁻³

# 2
Entry from Alexandria via LeMat-Bulk: crystalline Pr3TmC at its relaxed geometry (PBE-GGA).

abc: 5.2661 5.2661 5.2661
angles: 90.00 90.00 90.00
Sites, in units of the cell vectors:
Tm (0.5000, 0.5000, 0.5000)
Pr (0.0000, 0.5000, 0.0000)
C (0.0000, 0.0000, 0.0000)
Pr (0.5000, 0.0000, 0.0000)
Pr (0.0000, 0.0000, 0.5000)

Output
energy relative to the elements: 0.122 eV per atom
spin magnetization: 0.0 μB per formula unit
Fermi-level density of states: 1.381 states/eV/atom
mass density: 6.9 g cm⁻³

# 3
Entry from Alexandria via LeMat-Bulk: crystalline PrTm3C at its relaxed geometry (PBE-GGA).

abc: 4.9954 4.9954 4.9954
angles: 90.00 90.00 90.00
Sites, in units of the cell vectors:
C (0.0000, 0.0000, 0.0000)
Tm (0.0000, 0.0000, 0.5000)
Tm (0.0000, 0.5000, 0.0000)
Tm (0.5000, 0.0000, 0.0000)
Pr (0.5000, 0.5000, 0.5000)

Output
energy relative to the elements: -0.041 eV per atom
spin magnetization: 0.0 μB per formula unit
Fermi-level density of states: 0.964 states/eV/atom
mass density: 8.8 g cm⁻³

# 4
Entry from Alexandria via LeMat-Bulk: crystalline PrTmC2 at its relaxed geometry (PBE-GGA).

abc: 3.6806 3.6806 6.3318
angles: 73.10 73.10 60.00
Sites, in units of the cell vectors:
C (0.7431, 0.7431, 0.7706)
Tm (0.0000, 0.0000, 0.0000)
C (0.2569, 0.2569, 0.2294)
Pr (0.5000, 0.5000, 0.5000)

Output
energy relative to the elements: 0.197 eV per atom
spin magnetization: 0.0 μB per formula unit
Fermi-level density of states: 1.329 states/eV/atom
mass density: 7.9 g cm⁻³

# 5
Entry from Alexandria via LeMat-Bulk: crystalline Pr2Tm4C at its relaxed geometry (PBE-GGA).

abc: 4.7917 4.7917 9.6913
angles: 75.69 75.69 90.00
Sites, in units of the cell vectors:
Tm (0.1298, 0.1298, 0.7405)
Tm (0.8702, 0.8702, 0.2595)
Tm (0.0000, 0.5000, 0.0000)
C (0.0000, 0.0000, 0.0000)
Tm (0.5000, 0.0000, 0.0000)
Pr (0.6796, 0.6796, 0.6407)
Pr (0.3204, 0.3204, 0.3593)

Output
energy relative to the elements: 0.083 eV per atom
spin magnetization: 0.0 μB per formula unit
Fermi-level density of states: 1.700 states/eV/atom
mass density: 7.7 g cm⁻³

# 6
Entry from Alexandria via LeMat-Bulk: crystalline Pr2TmC at its relaxed geometry (PBE-GGA).

abc: 3.6408 3.6408 10.1813
angles: 79.70 79.70 60.00
Sites, in units of the cell vectors:
Pr (0.1183, 0.1183, 0.6450)
Pr (0.8817, 0.8817, 0.3550)
C (0.5000, 0.5000, 0.5000)
Tm (0.0000, 0.0000, 0.0000)

Output
energy relative to the elements: 0.121 eV per atom
spin magnetization: 0.0 μB per formula unit
Fermi-level density of states: 1.074 states/eV/atom
mass density: 6.7 g cm⁻³